#1
Below is a geometry-optimized B5C7 structure, with properties calculated at the PBE level.

Computed properties:
Magnetization in μB per formula unit: 0.000

Geometry as CIF:
```
data_B5C7
_chemical_formula_sum 'B5 C7'
_space_group_name_H-M_alt 'P 1'
_space_group_IT_number 1
_cell_length_a 7.185
_cell_length_b 7.185
_cell_length_c 4.608
_cell_angle_alpha 107.24
_cell_angle_beta 107.24
_cell_angle_gamma 20.42
loop_
_space_group_symop_operation_xyz
'x,y,z'
loop_
_atom_site_label
_atom_site_type_symbol
_atom_site_fract_x
_atom_site_fract_y
_atom_site_fract_z
B1 B 0.000 0.000 0.000
B2 B 0.273 0.273 0.887
B3 B 0.427 0.427 0.760
B4 B 0.502 0.502 0.420
B5 B 0.832 0.832 0.158
C1 C 0.120 0.120 0.090
C2 C 0.153 0.153 0.784
C3 C 0.315 0.315 0.592
C4 C 0.619 0.619 0.589
C5 C 0.660 0.660 0.289
C6 C 0.774 0.774 0.417
C7 C 0.948 0.948 0.281
```

=====

#2
Below is a geometry-optimized B5C7 structure, with properties calculated at the PBE level.

Computed properties:
Magnetization in μB per formula unit: 0.000

Geometry as CIF:
```
data_B5C7
_chemical_formula_sum 'B5 C7'
_space_group_name_H-M_alt 'P 1'
_space_group_IT_number 1
_cell_length_a 4.647
_cell_length_b 2.590
_cell_length_c 6.575
_cell_angle_alpha 90.00
_cell_angle_beta 95.77
_cell_angle_gamma 90.00
loop_
_space_group_symop_operation_xyz
'x,y,z'
loop_
_atom_site_label
_atom_site_type_symbol
_atom_site_fract_x
_atom_site_fract_y
_atom_site_fract_z
B1 B 0.000 0.000 0.000
B2 B 0.079 0.000 0.722
B3 B 0.395 0.000 0.112
B4 B 0.583 0.500 0.991
B5 B 0.755 0.000 0.415
C1 C 0.248 0.500 0.423
C2 C 0.256 0.500 0.659
C3 C 0.400 0.000 0.351
C4 C 0.571 0.500 0.748
C5 C 0.735 0.000 0.701
C6 C 0.905 0.500 0.106
C7 C 0.928 0.500 0.336
```

=====

Which structure is the least stable? The one labeled #1.

=====

#1
Below is a geometry-optimized BaNaLi2 structure, with properties calculated at the PBE level.

Computed properties:
Magnetization in μB per formula unit: 0.000

Geometry as CIF:
```
data_BaNaLi2
_chemical_formula_sum 'Ba1 Na1 Li2'
_space_group_name_H-M_alt 'P 1'
_space_group_IT_number 1
_cell_length_a 6.837
_cell_length_b 6.837
_cell_length_c 6.837
_cell_angle_alpha 46.25
_cell_angle_beta 46.25
_cell_angle_gamma 46.25
loop_
_space_group_symop_operation_xyz
'x,y,z'
loop_
_atom_site_label
_atom_site_type_symbol
_atom_site_fract_x
_atom_site_fract_y
_atom_site_fract_z
Ba1 Ba 0.000 0.000 0.000
Na1 Na 0.500 0.500 0.500
Li1 Li 0.205 0.205 0.205
Li2 Li 0.795 0.795 0.795
```

=====

#2
Below is a geometry-optimized BaNaLi2 structure, with properties calculated at the PBE level.

Computed properties:
Magnetization in μB per formula unit: 0.000

Geometry as CIF:
```
data_BaNaLi2
_chemical_formula_sum 'Ba1 Na1 Li2'
_space_group_name_H-M_alt 'P 1'
_space_group_IT_number 1
_cell_length_a 4.144
_cell_length_b 4.144
_cell_length_c 8.271
_cell_angle_alpha 90.00
_cell_angle_beta 90.00
_cell_angle_gamma 90.00
loop_
_space_group_symop_operation_xyz
'x,y,z'
loop_
_atom_site_label
_atom_site_type_symbol
_atom_site_fract_x
_atom_site_fract_y
_atom_site_fract_z
Ba1 Ba 0.000 0.000 0.000
Na1 Na 0.000 0.000 0.500
Li1 Li 0.500 0.500 0.303
Li2 Li 0.500 0.500 0.697
```

=====

Which structure is the least stable? The one labeled #1.